No. 1
VASP calculation (PBE) on TbPr8Hg2 after structural relaxation.

The structure in CIF format:
```
data_TbPr8Hg2
_chemical_formula_sum 'Tb1 Pr8 Hg2'
_space_group_name_H-M_alt 'P 1'
_space_group_IT_number 1
_cell_length_a 5.813
_cell_length_b 8.926
_cell_length_c 8.926
_cell_angle_alpha 119.00
_cell_angle_beta 100.54
_cell_angle_gamma 100.54
loop_
_space_group_symop_operation_xyz
'x,y,z'
loop_
_atom_site_label
_atom_site_type_symbol
_atom_site_fract_x
_atom_site_fract_y
_atom_site_fract_z
Pr1 Pr 0.500 0.226 0.774
Pr2 Pr 0.699 0.399 0.399
Pr3 Pr 0.101 0.315 0.090
Pr4 Pr 0.500 0.774 0.226
Pr5 Pr 0.899 0.685 0.910
Pr6 Pr 0.899 0.910 0.685
Pr7 Pr 0.301 0.601 0.601
Pr8 Pr 0.101 0.090 0.315
Tb1 Tb 0.500 0.000 0.000
Hg1 Hg 0.000 0.306 0.694
Hg2 Hg 0.000 0.694 0.306
```

* crystal system: monoclinic
* DOS at the Fermi energy: 1.264 states/eV per atom
* space group: C2/m (12)

No. 2
VASP calculation (PBE) on Rb3Tl2Te3 after structural relaxation.

The structure in CIF format:
```
data_Rb3Tl2Te3
_chemical_formula_sum 'Rb6 Tl4 Te6'
_space_group_name_H-M_alt 'P 1'
_space_group_IT_number 1
_cell_length_a 5.087
_cell_length_b 8.117
_cell_length_c 17.804
_cell_angle_alpha 90.00
_cell_angle_beta 90.00
_cell_angle_gamma 108.26
loop_
_space_group_symop_operation_xyz
'x,y,z'
loop_
_atom_site_label
_atom_site_type_symbol
_atom_site_fract_x
_atom_site_fract_y
_atom_site_fract_z
Rb1 Rb 0.667 0.334 0.250
Rb2 Rb 0.066 0.131 0.886
Rb3 Rb 0.333 0.666 0.750
Rb4 Rb 0.066 0.131 0.614
Rb5 Rb 0.934 0.869 0.114
Rb6 Rb 0.934 0.869 0.386
Te1 Te 0.606 0.213 0.454
Te2 Te 0.606 0.213 0.046
Te3 Te 0.394 0.787 0.954
Te4 Te 0.337 0.674 0.250
Te5 Te 0.394 0.787 0.546
Te6 Te 0.663 0.326 0.750
Tl1 Tl 0.764 0.529 0.918
Tl2 Tl 0.764 0.529 0.582
Tl3 Tl 0.236 0.471 0.418
Tl4 Tl 0.236 0.471 0.082
```

* crystal system: orthorhombic
* DOS at the Fermi energy: 0.420 states/eV per atom
* space group: Cmcm (63)
* distance to the lowest polymorph of the same formula: 1.7 kJ/mol of atoms
* uncorrected formation energy: -675 meV/atom

No. 3
VASP calculation (PBE) on Pr2PaGeN5 after structural relaxation.

The structure in CIF format:
```
data_Pr2PaGeN5
_chemical_formula_sum 'Pr4 Pa2 Ge2 N10'
_space_group_name_H-M_alt 'P 1'
_space_group_IT_number 1
_cell_length_a 3.469
_cell_length_b 7.766
_cell_length_c 10.283
_cell_angle_alpha 90.00
_cell_angle_beta 90.00
_cell_angle_gamma 102.91
loop_
_space_group_symop_operation_xyz
'x,y,z'
loop_
_atom_site_label
_atom_site_type_symbol
_atom_site_fract_x
_atom_site_fract_y
_atom_site_fract_z
Pr1 Pr 0.119 0.239 0.316
Pr2 Pr 0.893 0.786 0.179
Pr3 Pr 0.107 0.214 0.679
Pr4 Pr 0.881 0.761 0.816
N1 N 0.505 0.009 0.283
N2 N 0.710 0.419 0.159
N3 N 0.646 0.292 0.506
N4 N 0.045 0.090 0.039
N5 N 0.955 0.910 0.539
N6 N 0.328 0.657 0.379
N7 N 0.672 0.343 0.879
N8 N 0.290 0.581 0.659
N9 N 0.354 0.708 0.006
N10 N 0.495 0.991 0.783
Ge1 Ge 0.453 0.907 0.445
Ge2 Ge 0.547 0.093 0.945
Pa1 Pa 0.791 0.582 0.518
Pa2 Pa 0.209 0.418 0.018
```

* crystal system: orthorhombic
* space group: Cmc2_1 (36)
* uncorrected formation energy: -1045 meV/atom

No. 4
VASP calculation (PBE) on KAu2 after structural relaxation.

The structure in CIF format:
```
data_KAu2
_chemical_formula_sum 'K1 Au2'
_space_group_name_H-M_alt 'P 1'
_space_group_IT_number 1
_cell_length_a 6.374
_cell_length_b 6.374
_cell_length_c 6.374
_cell_angle_alpha 144.94
_cell_angle_beta 144.94
_cell_angle_gamma 50.43
loop_
_space_group_symop_operation_xyz
'x,y,z'
loop_
_atom_site_label
_atom_site_type_symbol
_atom_site_fract_x
_atom_site_fract_y
_atom_site_fract_z
Au1 Au 0.730 0.730 0.000
Au2 Au 0.270 0.270 0.000
K1 K 0.000 0.000 0.000
```

* crystal system: tetragonal
* DOS at the Fermi energy: 0.367 states/eV per atom
* space group: I4/mmm (139)

No. 5
VASP calculation (PBE) on KSb2Os after structural relaxation.

The structure in CIF format:
```
data_KSb2Os
_chemical_formula_sum 'K1 Sb2 Os1'
_space_group_name_H-M_alt 'P 1'
_space_group_IT_number 1
_cell_length_a 7.494
_cell_length_b 7.494
_cell_length_c 7.494
_cell_angle_alpha 33.40
_cell_angle_beta 33.40
_cell_angle_gamma 33.40
loop_
_space_group_symop_operation_xyz
'x,y,z'
loop_
_atom_site_label
_atom_site_type_symbol
_atom_site_fract_x
_atom_site_fract_y
_atom_site_fract_z
Sb1 Sb 0.033 0.033 0.033
Sb2 Sb 0.467 0.467 0.467
K1 K 0.250 0.250 0.250
Os1 Os 0.750 0.750 0.750
```

* crystal system: trigonal
* DOS at the Fermi energy: 0.967 states/eV per atom
* space group: R-3m (166)
* distance to the lowest polymorph of the same formula: 3.2 kJ/mol of atoms
* uncorrected formation energy: 77 meV/atom

No. 6
VASP calculation (PBE) on Tb2Hg5Au after structural relaxation.

The structure in CIF format:
```
data_Tb2Hg5Au
_chemical_formula_sum 'Tb2 Hg5 Au1'
_space_group_name_H-M_alt 'P 1'
_space_group_IT_number 1
_cell_length_a 4.769
_cell_length_b 4.769
_cell_length_c 10.977
_cell_angle_alpha 77.45
_cell_angle_beta 77.45
_cell_angle_gamma 60.00
loop_
_space_group_symop_operation_xyz
'x,y,z'
loop_
_atom_site_label
_atom_site_type_symbol
_atom_site_fract_x
_atom_site_fract_y
_atom_site_fract_z
Hg1 Hg 0.202 0.202 0.394
Hg2 Hg 0.798 0.798 0.606
Hg3 Hg 0.372 0.372 0.885
Hg4 Hg 0.500 0.500 0.500
Hg5 Hg 0.628 0.628 0.115
Tb1 Tb 0.907 0.907 0.279
Tb2 Tb 0.093 0.093 0.721
Au1 Au 0.000 0.000 0.000
```

* crystal system: trigonal
* DOS at the Fermi energy: 0.445 states/eV per atom
* space group: R-3m (166)

For each record above, in turn, the calculated calculated density values are 7.42, 4.99, 8.06, 8.46, 6.92, 12.04 g cm⁻³.
For each record above, in turn, the calculated calculated total energy values are -44.2, -44.9, -149.4, -8.1, -20.3, -16.1 eV for the cell shown.